1.
# SrHg3

A geometry-optimized SrHg3 structure (PBEsol, Alexandria).

Calculated values
Uncorrected energy ... -5.41 eV per formula unit
Total magnetization ... 0.0 μB/f.u.

Lattice parameters (Å, degrees): 5.2628 6.7696 5.7284 90.00 90.00 90.00
Atoms (fractional coordinates):
Sr1 0.2500 0.2500 0.1472
Sr2 0.7500 0.7500 0.8528
Hg1 0.2500 0.5012 0.6565
Hg2 0.2500 0.7500 0.1984
Hg3 0.2500 0.9988 0.6565
Hg4 0.7500 0.0012 0.3435
Hg5 0.7500 0.2500 0.8016
Hg6 0.7500 0.4988 0.3435

=====

2.
# SrHg5

A geometry-optimized SrHg5 structure (PBEsol, Alexandria).

Calculated values
Energy above the lowest structure with this stoichiometry ... 0 meV per atom
Total magnetization ... 0.0 μB/f.u.

Lattice parameters (Å, degrees): 8.8798 5.0782 6.6272 90.00 93.44 90.00
Atoms (fractional coordinates):
Sr1 0.0000 0.0000 0.0000
Sr2 0.5000 0.5000 0.0000
Hg1 0.0000 0.0000 0.5000
Hg2 0.1564 0.5000 0.7377
Hg3 0.1756 0.5000 0.2621
Hg4 0.3244 0.0000 0.7379
Hg5 0.3436 0.0000 0.2623
Hg6 0.5000 0.5000 0.5000
Hg7 0.6564 0.0000 0.7377
Hg8 0.6756 0.0000 0.2621
Hg9 0.8244 0.5000 0.7379
Hg10 0.8436 0.5000 0.2623